No. 1
Material: RbU2Br8
Method: DFT, GGA-PBE
State: optimized geometry

Cell lengths 10.2244, 10.2244, 5.7740 Å; angles 90.00, 90.00, 120.00 degrees
Space group P-3 (No. 147)
Symmetry-distinct sites (fractional):
Rb1 0.0000 0.0000 0.0000 x1
U1 0.3333 0.6667 0.7473 x2
Br1 0.1786 0.3594 0.7339 x6
Br2 0.3333 0.6667 0.2392 x2

Energy relative to the lowest polymorph listed for this composition, meV per atom: 84.3
DOS(E_F), states/eV/f.u.: 19.87

No. 2
Material: RbUZn2Br8
Method: DFT, GGA-PBE
State: optimized geometry

Cell lengths 6.9312, 6.9312, 31.3319 Å; angles 90.00, 90.00, 120.00 degrees
Space group R-3 (No. 148, hexagonal axes)
Symmetry-distinct sites (fractional):
Rb1 0.0000 0.0000 0.0000 x3
U1 0.0000 0.0000 0.5000 x3
Zn1 0.0000 0.0000 0.2499 x6
Br1 0.0000 0.0000 0.3250 x6
Br2 0.0030 0.3269 0.8887 x18

Calculated total energy, eV per cell: -125.3

No. 3
Material: RbV3Br12
Method: DFT, GGA-PBE
State: optimized geometry

Cell lengths 13.4604, 13.4604, 9.1276 Å; angles 90.00, 90.00, 120.00 degrees
Space group P6_3/m (No. 176)
Symmetry-distinct sites (fractional):
Rb1 0.3333 0.6667 0.2500 x2
V1 0.0979 0.7153 0.7500 x6
Br1 0.0129 0.1983 0.2500 x6
Br2 0.0166 0.4843 0.2500 x6
Br3 0.2141 0.7729 0.5422 x12

Calculated total energy, eV per cell: -125.8
DOS(E_F), states/eV/f.u.: 21.06

No. 4
Material: Rb2V3Br9
Method: DFT, GGA-PBE
State: optimized geometry

Cell lengths 11.3904, 18.3388, 10.4973 Å; angles 90.00, 115.95, 90.00 degrees
Space group C2/m (No. 12)
Symmetry-distinct sites (fractional):
Rb1 0.0892 0.1629 0.2977 x8
V1 0.1389 0.5000 0.8440 x4
V2 0.1591 0.3958 0.1729 x8
Br1 0.0000 0.3015 0.0000 x4
Br2 0.0182 0.4017 0.3035 x8
Br3 0.1914 0.2002 0.6627 x8
Br4 0.1986 0.0000 0.6789 x4
Br5 0.2194 0.0994 0.9839 x8
Br6 0.2322 0.0000 0.2965 x4

Calculated total energy, eV per cell: -234.7
DOS(E_F), states/eV/f.u.: 16.40